No. 1
Entry from the Alexandria database: a relaxed LiCr2AsO6 crystal (PBE+U).

The calculation puts the electronic total energy at -6.887 eV per atom.

```
LiCr2AsO6
1.0
-0.2924 -4.6654 1.8394
1.5015 -3.8976 -2.7893
4.6442 -2.4465 1.3950
Li Cr O As
1 2 6 1
Cartesian
3.7838 -8.3156 0.0894
4.4849 -2.4618 1.3306
2.6925 -5.5272 0.1280
3.5219 -5.6642 1.9955
2.4179 -5.3548 -1.8881
1.2474 -4.2208 0.7407
1.6691 -7.2692 0.4247
4.0990 -4.0402 0.1778
4.4744 -6.4921 -0.1681
0.5368 -2.8415 -0.2626
```

=====

No. 2
Entry from the Alexandria database: a relaxed LiCrAs2O6 crystal (PBE+U).

The calculation puts the electronic total energy at -6.225 eV per atom.

```
LiCrAs2O6
1.0
-3.5672 -5.3851 0.2682
3.3204 -4.3063 3.7698
-3.6196 0.3784 5.5259
O Li As Cr
12 2 4 2
Cartesian
1.0014 -3.8823 2.8352
-1.8498 -3.5408 3.4635
-4.8679 -5.4308 6.7287
-2.0167 -5.7722 6.1005
0.7384 -5.3186 5.6274
-0.1404 -4.7575 8.1852
-3.1911 -6.5319 3.4857
-0.6266 -2.7512 0.9117
-0.6753 -2.7811 6.0783
-4.6049 -3.9945 3.9366
-3.7261 -4.5555 1.3788
-3.2399 -6.5619 8.6522
-1.2921 -7.0376 4.4611
-2.5744 -2.2755 5.1028
-3.5148 -6.4767 6.8960
-0.5627 -4.5729 6.4662
-3.3038 -4.7402 3.0978
-0.3516 -2.8364 2.6680
-5.7186 -4.0496 5.5812
1.8521 -5.2635 3.9828
```

=====

No. 3
Entry from the Alexandria database: a relaxed Li2CrAsO crystal (PBE+U).

The calculation puts the electronic total energy at -5.279 eV per atom.

```
Li2CrAsO
1.0
-0.1727 1.0567 3.7840
2.2709 -3.0640 0.9593
3.3546 2.3305 -0.4977
O Li Cr As
1 2 1 1
Cartesian
0.0000 0.0000 0.0000
1.1354 -1.5320 0.4796
-0.0864 0.5283 1.8920
1.6773 1.1652 -0.2488
2.7264 0.1616 2.1228
```